(1)
# BaSi2As, relaxed, DFT PBE
data_BaSi2As
_cell_length_a 5.021
_cell_length_b 5.021
_cell_length_c 5.886
_cell_angle_alpha 75.69
_cell_angle_beta 75.69
_cell_angle_gamma 43.59
_symmetry_space_group_name_H-M 'P 1'
_symmetry_Int_Tables_number 1
_symmetry_space_group_name_Hall 'P 1'
loop_
_atom_site_label
_atom_site_type_symbol
_atom_site_fract_x
_atom_site_fract_y
_atom_site_fract_z
As1 As 0.750 0.750 0.750
Ba1 Ba 0.250 0.250 0.250
Si1 Si 0.020 0.020 0.879
Si2 Si 0.480 0.480 0.621
# Space group: C2/m
# D(E_F): 2.21 states/eV/cell
# Electronic total energy: -4.56 eV/atom
# E_form (uncorrected): -0.21 eV/atom

=====

(2)
# Ti3ZnTc, relaxed, DFT PBE
data_Ti3ZnTc
_cell_length_a 4.562
_cell_length_b 4.562
_cell_length_c 4.562
_cell_angle_alpha 90.00
_cell_angle_beta 90.00
_cell_angle_gamma 90.00
_symmetry_space_group_name_H-M 'P 1'
_symmetry_Int_Tables_number 1
_symmetry_space_group_name_Hall 'P 1'
loop_
_atom_site_label
_atom_site_type_symbol
_atom_site_fract_x
_atom_site_fract_y
_atom_site_fract_z
Zn1 Zn 0.000 0.000 0.000
Tc1 Tc 0.500 0.500 0.500
Ti1 Ti 0.000 0.500 0.000
Ti2 Ti 0.000 0.000 0.500
Ti3 Ti 0.500 0.000 0.000
# Space group: Pm-3m
# Energy relative to the lowest polymorph listed for this composition: 1330.8 meV/atom
# ΔE_f: 1.0424 eV/atom
# D(E_F): 7.26 states/eV/cell
# Electronic total energy: -6.02 eV/atom

=====

(3)
# U2CoS4, relaxed, DFT PBE
data_U2CoS4
_cell_length_a 6.293
_cell_length_b 5.766
_cell_length_c 7.365
_cell_angle_alpha 90.00
_cell_angle_beta 107.00
_cell_angle_gamma 90.00
_symmetry_space_group_name_H-M 'P 1'
_symmetry_Int_Tables_number 1
_symmetry_space_group_name_Hall 'P 1'
loop_
_atom_site_label
_atom_site_type_symbol
_atom_site_fract_x
_atom_site_fract_y
_atom_site_fract_z
U1 U 0.741 0.750 0.057
U2 U 0.259 0.250 0.943
U3 U 0.248 0.250 0.435
U4 U 0.752 0.750 0.565
Co1 Co 0.264 0.750 0.191
Co2 Co 0.736 0.250 0.809
S1 S 0.518 0.489 0.257
S2 S 0.077 0.750 0.894
S3 S 0.923 0.250 0.106
S4 S 0.518 0.011 0.257
S5 S 0.930 0.250 0.609
S6 S 0.482 0.989 0.743
S7 S 0.482 0.511 0.743
S8 S 0.070 0.750 0.391
# Space group: P2_1/m
# D(E_F): 18.32 states/eV/cell
# Electronic total energy: -7.78 eV/atom
# E_form (uncorrected): -1.18 eV/atom

=====

(4)
# Ac4GeIrCl2, relaxed, DFT PBE
data_Ac4GeIrCl2
_cell_length_a 4.410
_cell_length_b 7.978
_cell_length_c 7.902
_cell_angle_alpha 107.37
_cell_angle_beta 90.00
_cell_angle_gamma 90.00
_symmetry_space_group_name_H-M 'P 1'
_symmetry_Int_Tables_number 1
_symmetry_space_group_name_Hall 'P 1'
loop_
_atom_site_label
_atom_site_type_symbol
_atom_site_fract_x
_atom_site_fract_y
_atom_site_fract_z
Ac1 Ac 0.500 0.254 0.216
Ac2 Ac 0.500 0.746 0.784
Ac3 Ac 0.000 0.278 0.789
Ac4 Ac 0.000 0.722 0.211
Ge1 Ge 0.000 0.000 0.000
Ir1 Ir 0.500 0.500 0.000
Cl1 Cl 0.500 0.000 0.500
Cl2 Cl 0.000 0.500 0.500
# Space group: P2/m
# D(E_F): 5.55 states/eV/cell
# Electronic total energy: -5.41 eV/atom
# E_form (uncorrected): -1.21 eV/atom

=====

(5)
# BiPb8Au4, relaxed, DFT PBE
data_BiPb8Au4
_cell_length_a 10.269
_cell_length_b 10.274
_cell_length_c 7.243
_cell_angle_alpha 90.35
_cell_angle_beta 134.74
_cell_angle_gamma 120.32
_symmetry_space_group_name_H-M 'P 1'
_symmetry_Int_Tables_number 1
_symmetry_space_group_name_Hall 'P 1'
loop_
_atom_site_label
_atom_site_type_symbol
_atom_site_fract_x
_atom_site_fract_y
_atom_site_fract_z
Bi1 Bi 0.000 0.500 0.500
Pb1 Pb 0.518 0.761 0.278
Pb2 Pb 0.482 0.239 0.722
Pb3 Pb 0.482 0.242 0.240
Pb4 Pb 0.002 0.242 0.759
Pb5 Pb 0.518 0.758 0.760
Pb6 Pb 0.000 0.759 0.760
Pb7 Pb 0.000 0.241 0.240
Pb8 Pb 0.998 0.758 0.241
Au1 Au 0.000 0.000 0.000
Au2 Au 0.000 0.500 0.000
Au3 Au 0.500 0.500 0.000
Au4 Au 0.500 0.000 0.000
# Space group: P-1
# ΔE_f: 0.0165 eV/atom
# D(E_F): 6.26 states/eV/cell
# Electronic total energy: -3.57 eV/atom

=====

(6)
# Li2AcGa2, relaxed, DFT PBE
data_Li2AcGa2
_cell_length_a 4.580
_cell_length_b 4.633
_cell_length_c 11.178
_cell_angle_alpha 101.96
_cell_angle_beta 101.82
_cell_angle_gamma 90.00
_symmetry_space_group_name_H-M 'P 1'
_symmetry_Int_Tables_number 1
_symmetry_space_group_name_Hall 'P 1'
loop_
_atom_site_label
_atom_site_type_symbol
_atom_site_fract_x
_atom_site_fract_y
_atom_site_fract_z
Li1 Li 0.532 0.282 0.065
Li2 Li 0.960 0.210 0.920
Li3 Li 0.468 0.718 0.935
Li4 Li 0.040 0.790 0.080
Ac1 Ac 0.836 0.586 0.671
Ac2 Ac 0.164 0.414 0.329
Ga1 Ga 0.718 0.968 0.436
Ga2 Ga 0.282 0.032 0.564
Ga3 Ga 0.401 0.151 0.801
Ga4 Ga 0.599 0.849 0.199
# Space group: Imma
# Energy relative to the lowest polymorph listed for this composition: 0.0 meV/atom
# ΔE_f: -0.3645 eV/atom
# D(E_F): 7.46 states/eV/cell
# Electronic total energy: -3.16 eV/atom

=====

Computed values of V (unit: Å³ per cell) for the preceding records, in sequence: 98.6; 94.9; 255.5; 265.4; 378.5; 226.9.